9
Lattice="7.5895 0.0000 0.0000 -3.7947 6.5727 0.0000 0.0000 0.0000 4.3661" Properties=species:S:1:pos:R:3 comment="La3Mg3InIr2, relaxed, DFT GGA-PBE" rho_g_cm3=7.54 dft_energy_ev_per_atom=-4.94 pbc="T T T"
La 3.2784 0.0000 0.0000
La -1.6392 2.8392 0.0000
Ir 3.7947 2.1909 2.1830
Ir 0.0000 4.3818 2.1830
Mg 5.6669 0.0000 2.1830
Mg -2.8334 4.9076 2.1830
In 0.0000 0.0000 0.0000
La 2.1555 3.7335 0.0000
Mg 0.9613 1.6650 2.1830



3
Lattice="0.0000 3.2077 3.2077 3.2077 0.0000 3.2077 3.2077 3.2077 0.0000" Properties=species:S:1:pos:R:3 comment="ErCuSb, relaxed, DFT GGA-PBE" rho_g_cm3=8.87 dft_energy_ev_per_atom=-4.68 pbc="T T T"
Cu 0.0000 0.0000 0.0000
Er 1.6039 1.6039 1.6039
Sb 4.8116 4.8116 4.8116



3
Lattice="1.6030 -4.1616 3.1052 -3.6570 -3.5507 1.8842 -0.1322 -5.0649 -1.9647" Properties=species:S:1:pos:R:3 comment="SmGdTh, relaxed, DFT GGA-PBE" rho_g_cm3=7.90 dft_energy_ev_per_atom=-4.78 e_above_lowest_polymorph_mev_per_atom=0 pbc="T T T"
Th -1.6397 -9.5829 2.2685
Gd -0.5466 -3.1943 0.7562
Sm 0.0000 0.0000 0.0000



4
Lattice="-0.3461 -4.2026 1.2076 -3.6216 -1.4056 2.0366 -2.7974 -2.6579 -2.0855" Properties=species:S:1:pos:R:3 comment="FeCuTcSb, relaxed, DFT GGA-PBE" rho_g_cm3=9.44 dft_energy_ev_per_atom=-6.38 e_above_lowest_polymorph_mev_per_atom=0 pbc="T T T"
Cu -5.0739 -6.1996 0.8690
Tc -1.6913 -2.0665 0.2897
Sb 0.0000 0.0000 0.0000
Fe -3.3826 -4.1330 0.5793



8
Lattice="-1.5265 -0.1561 4.9395 2.5664 -2.4136 0.7169 3.8910 4.5332 1.3326" Properties=species:S:1:pos:R:3 comment="Co2SbP, relaxed, DFT GGA-PBE" rho_g_cm3=7.90 dft_energy_ev_per_atom=-6.30 e_above_lowest_polymorph_mev_per_atom=0 pbc="T T T"
P 5.0726 2.2669 2.9954
P -0.1416 -0.3033 3.9935
Co 1.1679 -1.0826 5.6973
Co 1.9234 -0.9859 3.3182
Co 3.7631 3.0462 1.2916
Co 3.0076 2.9495 3.6707
Sb 1.8774 1.2395 1.9597
Sb 3.0535 0.7240 5.0292



6
Lattice="-2.9430 2.0483 -4.4278 -2.7683 -2.4010 -4.3627 -1.7941 0.0318 6.9928" Properties=species:S:1:pos:R:3 comment="Pr2Cu3Ag, relaxed, DFT GGA-PBE" rho_g_cm3=7.76 dft_energy_ev_per_atom=-4.12 pbc="T T T"
Cu -2.1446 -0.0426 2.8430
Cu -6.1829 -0.2685 -1.7647
Cu -1.2109 -0.0474 0.0091
Pr -3.0408 -0.1573 -2.5903
Pr -4.4789 -0.1642 0.7969
Ag -5.4582 -0.2828 -4.6873



16
Lattice="-2.7823 -5.7040 0.2089 9.3487 -4.9373 -10.2978 3.5235 -1.5739 3.9533" Properties=species:S:1:pos:R:3 comment="AcZr, relaxed, DFT GGA-PBE" rho_g_cm3=8.17 dft_energy_ev_per_atom=-6.07 e_above_lowest_polymorph_mev_per_atom=122 pbc="T T T"
Zr 8.0107 -6.0533 -5.6895
Zr 2.1732 -1.5704 -2.5621
Ac 0.8439 -2.8457 1.9750
Zr 5.4942 -8.8308 -4.5524
Zr 3.1924 -3.8797 -0.5297
Ac 2.0218 -8.0881 -5.0220
Zr 7.3416 -9.8065 -6.5874
Ac 6.5554 -10.4824 -10.0158
Ac 6.6675 -7.1835 -8.8024
Ac 5.3809 -5.2418 -3.0225
Zr 0.0569 -3.5227 -1.4532
Ac 2.8871 -7.2842 -1.6131
Ac 0.7316 -6.1459 0.7613
Ac 4.5147 -6.0466 -6.4310
Zr 6.9907 -3.7456 -7.7218
Zr 1.9081 -4.5003 -3.4923



3
Lattice="-3.5946 -1.4085 3.3339 -4.4417 2.5024 0.1704 -4.2651 -2.2591 -1.6508" Properties=species:S:1:pos:R:3 comment="BaZrAl, relaxed, DFT GGA-PBE" rho_g_cm3=4.52 dft_energy_ev_per_atom=-4.00 pbc="T T T"
Ba -9.2261 -0.8738 1.3901
Zr 0.0000 0.0000 0.0000
Al -3.0754 -0.2913 0.4634



4
Lattice="2.9278 -3.3543 3.2235 -2.1660 -1.8933 4.6838 -1.3940 -5.2989 0.4388" Properties=species:S:1:pos:R:3 comment="BaSb2Au, relaxed, DFT GGA-PBE" rho_g_cm3=8.17 dft_energy_ev_per_atom=-3.66 pbc="T T T"
Au -0.3161 -5.2732 4.1730
Sb 0.0000 0.0000 0.0000
Ba -0.1581 -2.6366 2.0865
Sb -0.4742 -7.9098 6.2595



12
Lattice="7.0933 -1.7918 0.0000 7.0933 1.7918 0.0000 0.0000 0.0000 9.0142" Properties=species:S:1:pos:R:3 comment="RbDyHgO3, relaxed, DFT GGA-PBE" rho_g_cm3=7.20 dft_energy_ev_per_atom=-5.33 pbc="T T T"
Dy 0.0000 0.0000 4.5071
Rb 4.5085 0.0000 6.7606
O 8.5753 0.0000 8.8082
O 8.5753 0.0000 4.7130
O 5.6113 0.0000 4.3011
Dy 0.0000 0.0000 0.0000
Rb 9.6782 0.0000 2.2535
O 5.6113 0.0000 0.2059
Hg 5.5829 0.0000 2.2535
O 0.3777 0.0000 2.2535
Hg 8.6037 0.0000 6.7606
O 13.8090 0.0000 6.7606



3
Lattice="0.0000 4.1993 4.1993 4.1993 0.0000 4.1993 4.1993 4.1993 0.0000" Properties=species:S:1:pos:R:3 comment="RbGdTm, relaxed, DFT GGA-PBE" rho_g_cm3=4.62 dft_energy_ev_per_atom=-2.13 e_above_lowest_polymorph_mev_per_atom=0 pbc="T T T"
Rb 6.2989 6.2989 6.2989
Tm 0.0000 0.0000 0.0000
Gd 2.0996 2.0996 2.0996



5
Lattice="4.1166 0.0000 0.0000 -2.0583 3.5650 0.0000 0.0000 0.0000 9.1827" Properties=species:S:1:pos:R:3 comment="Dy3As2, relaxed, DFT GGA-PBE" rho_g_cm3=7.85 dft_energy_ev_per_atom=-5.77 pbc="T T T"
As 0.0000 2.3767 7.5270
Dy 0.0000 0.0000 0.0000
Dy 0.0000 2.3767 3.1614
As 2.0583 1.1883 1.6556
Dy 2.0583 1.1883 6.0213



4
Lattice="-1.3315 3.2049 -1.3474 -2.1594 0.3684 3.0102 2.7018 1.8425 1.7127" Properties=species:S:1:pos:R:3 comment="Cu3Pt, relaxed, DFT GGA-PBE" rho_g_cm3=12.52 dft_energy_ev_per_atom=-4.44 pbc="T T T"
Cu -1.7454 1.7866 0.8314
Cu 0.2712 1.1054 2.3614
Cu 0.6852 2.5237 0.1827
Pt 0.0000 0.0000 0.0000



8
Lattice="-2.9379 5.0691 -3.6455 1.7614 -5.1546 -4.2360 -3.5826 -1.6787 0.5530" Properties=species:S:1:pos:R:3 comment="Dy3PaP4, relaxed, DFT GGA-PBE" rho_g_cm3=7.80 dft_energy_ev_per_atom=-7.17 pbc="T T T"
P -2.0814 -0.8604 -1.6672
P 0.6022 -2.6325 -4.0903
Dy -0.9106 -3.4166 -1.8415
P -2.6776 -0.9037 -5.6613
Dy -3.2602 1.6952 -1.5462
Pa 0.0000 0.0000 0.0000
Dy -0.5882 -0.0427 -3.9407
P -1.7786 2.5470 -3.7912



12
Lattice="2.8303 1.6341 8.9679 -2.8303 1.6341 8.9679 0.0000 -3.2682 8.9679" Properties=species:S:1:pos:R:3 comment="La2YAl7Ag2, relaxed, DFT GGA-PBE" rho_g_cm3=5.15 dft_energy_ev_per_atom=-4.45 pbc="T T T"
Ag 0.0000 0.0000 9.0413
Al 1.4460 -0.8349 11.1467
Al 0.0000 1.6697 11.1467
Al -1.4460 0.8349 15.7571
Al 1.4460 0.8349 15.7571
La 0.0000 0.0000 23.0728
Y 0.0000 0.0000 0.0000
Al 0.0000 -1.6697 15.7571
La 0.0000 0.0000 3.8310
Al 0.0000 0.0000 13.4519
Al -1.4460 -0.8349 11.1467
Ag 0.0000 0.0000 17.8625



4
Lattice="0.0000 3.4783 3.4783 3.4783 0.0000 3.4783 3.4783 3.4783 0.0000" Properties=species:S:1:pos:R:3 comment="La2ZnCo, relaxed, DFT GGA-PBE" rho_g_cm3=7.93 dft_energy_ev_per_atom=-4.52 pbc="T T T"
Zn 3.4783 3.4783 3.4783
Co 1.7391 1.7391 1.7391
La 0.0000 0.0000 0.0000
La 5.2175 5.2175 5.2175



14
Lattice="4.5456 -4.5456 0.0000 -4.5456 0.0000 -4.5456 4.5456 4.5456 0.0000" Properties=species:S:1:pos:R:3 comment="HfSi2O4, relaxed, DFT GGA-PBE" rho_g_cm3=5.28 dft_energy_ev_per_atom=-7.34 pbc="T T T"
O 1.1392 1.1398 -1.1398
O 3.4065 3.4058 -1.1398
Si 1.1364 1.1364 -3.4092
O -1.1336 1.1330 -3.4126
Hf 0.0000 0.0000 0.0000
Si 3.4092 1.1364 -1.1364
O 3.4065 1.1398 -3.4058
O 3.4120 -1.1330 -1.1330
Si -1.1364 -1.1364 -3.4092
O 5.6793 1.1330 -1.1330
Hf 2.2728 -2.2728 -2.2728
O 1.1392 3.4058 -3.4058
O 1.1336 -1.1330 -3.4126
Si 5.6820 -1.1364 -1.1364



64
Lattice="-4.0611 3.6191 2.5946 -0.0558 -5.9135 1.1616 14.6989 3.4386 18.2104" Properties=species:S:1:pos:R:3 comment="BW12N19, relaxed, DFT GGA-PBE" rho_g_cm3=11.08 dft_energy_ev_per_atom=-10.01 pbc="T T T"
N 3.9594 2.0055 10.3994
N 0.2182 -0.6391 4.6836
W 3.6631 0.8569 4.5382
N 4.6744 0.8853 13.0811
W 0.0000 0.0000 0.0000
W 5.1213 2.2773 11.8389
W -1.7319 2.2358 4.3024
B 9.6325 -0.1572 15.2961
N 12.6445 0.5474 19.0276
N 4.7042 4.0437 12.4607
N 1.0140 -1.6700 7.1813
N 5.9077 0.2589 8.8855
N 7.6478 1.7440 16.5373
W 4.2527 1.5904 8.3002
N 12.4020 2.9013 15.3648
N 10.3639 1.7833 17.2830
N 8.3618 3.5675 18.5621
W -1.7569 -0.4104 4.8222
N 2.2202 -2.4233 3.4045
N 0.1465 -1.0888 1.7481
N 9.6423 2.2557 11.9457
N 2.9342 -0.5998 5.4293
N 6.6227 -0.8613 11.5672
W 9.0942 3.2067 16.7609
N 3.7088 -0.9665 10.8918
N 10.4355 2.2330 20.2185
N 6.8732 2.1107 11.0749
N 2.9082 -3.3581 5.9711
W 11.0358 2.5817 13.6722
W -0.8920 -2.6193 2.2573
N 2.2969 0.5373 2.8456
N 5.0358 -1.7646 6.8928
N 9.5681 2.8142 14.7853
N 3.0063 -2.8957 8.7445
N 5.0566 1.1829 6.2646
N 0.1167 -4.2472 2.3685
W 6.3294 -0.4462 13.6664
N 10.3914 4.6986 16.7103
N 7.6738 4.5022 15.9955
W 1.4878 -2.0625 5.2057
N -2.0624 0.5968 2.9390
N -2.0523 -2.3143 3.7543
W 10.4967 0.5279 18.8253
W 0.0853 0.6163 3.1413
N 3.0338 0.0195 8.1719
W 12.3389 1.5546 17.1444
W 11.4741 3.7634 19.7093
N 0.1907 -3.5544 5.2563
W 7.3495 1.7193 9.1052
N 5.8779 -2.8995 9.5060
W 8.1496 -2.0683 12.5035
B 0.9496 1.3014 6.6705
W 12.3140 -1.0916 17.6643
N 12.6344 3.4584 18.2123
W 2.4324 3.2125 9.4631
W 7.5019 2.8342 14.7882
W 8.1746 0.5822 11.9828
N 7.5758 4.0399 13.2221
W 2.4074 0.5620 9.9838
W 5.4607 -1.1331 10.1277
N 5.5463 2.9088 15.0738
N 7.5483 1.1247 13.7947
N 10.4653 5.3914 19.5981
W 3.0802 -1.6900 7.1785



9
Lattice="-2.9727 -5.1033 -0.0623 -2.9727 5.1033 -0.0623 1.9451 0.0000 -3.0677" Properties=species:S:1:pos:R:3 comment="LiHf2O6, relaxed, DFT GGA-PBE" rho_g_cm3=8.10 dft_energy_ev_per_atom=-8.01 e_above_lowest_polymorph_mev_per_atom=0 pbc="T T T"
O -3.9483 1.7263 -0.9664
O -1.0704 0.0000 -0.6211
O -3.9483 -1.7263 -0.9664
O -0.0518 1.7263 -2.2259
O -2.9298 0.0000 -2.5711
Hf -2.9727 -3.4023 -0.0623
Hf -2.9727 3.4023 -0.0623
O -0.0518 -1.7263 -2.2259
Li -2.9727 0.0000 -0.0623



3
Lattice="-0.6937 1.7652 3.9381 -0.9406 4.2540 0.3533 -4.0237 1.2603 1.1521" Properties=species:S:1:pos:R:3 comment="ErGaNi, relaxed, DFT GGA-PBE" rho_g_cm3=8.31 dft_energy_ev_per_atom=-4.83 pbc="T T T"
Ga -4.2435 5.4596 4.0827
Ni 0.0000 0.0000 0.0000
Er -1.4145 1.8199 1.3609



8
Lattice="-2.8879 2.8879 5.8245 2.8879 -2.8879 5.8245 2.8879 2.8879 -5.8245" Properties=species:S:1:pos:R:3 comment="AlTlCu2Se4, relaxed, DFT GGA-PBE" rho_g_cm3=5.76 dft_energy_ev_per_atom=-3.86 pbc="T T T"
Se 4.2026 1.3080 -1.3338
Cu 0.0000 0.0000 5.8245
Cu 0.0000 2.8879 2.9123
Tl 2.8879 0.0000 2.9123
Se 1.3080 1.5733 1.3338
Se 1.5799 1.3147 7.1583
Se -1.3147 1.5799 4.4907
Al 0.0000 0.0000 0.0000